# ErNp2ScP4

A relaxed ErNp2ScP4 crystal (GGA-PBE, the Alexandria database).

As for the formation energy: -9.39 eV/f.u. As for the raw total energy: -8.475 eV per atom.

It has space group P2/m (No. 10), with a = 6.768 Å, b = 3.898 Å, c = 6.776 Å, α = 90.00°, β = 109.43° and γ = 90.00°. Symmetry generates all atoms from Er at (0.000, 0.000, 0.000), Np at (0.500, 0.000, 0.500), Np at (0.500, 0.500, 0.000), Sc at (0.000, 0.500, 0.500), P at (0.244, 0.000, 0.742) and P at (0.248, 0.500, 0.256).


# CaPrAlPb

A relaxed CaPrAlPb crystal (GGA-PBE, the Alexandria database).

As for the formation energy: -1.33 eV/f.u. As for the raw total energy: -3.889 eV per atom.

It has space group F-43m (No. 216), with a = 7.711 Å, b = 7.711 Å, c = 7.711 Å, α = 90.00°, β = 90.00° and γ = 90.00°. Symmetry generates all atoms from Ca at (0.000, 0.000, 0.000), Pr at (0.000, 0.000, 0.500), Al at (0.250, 0.250, 0.750) and Pb at (0.250, 0.250, 0.250).


# Cs2MnCd2Se4

A relaxed Cs2MnCd2Se4 crystal (GGA-PBE, the Alexandria database).

As for the raw total energy: -3.729 eV per atom. The calculation puts the uncorrected formation energy at -0.77 eV per atom.

It has space group C2/m (No. 12), with a = 17.108 Å, b = 4.184 Å, c = 8.276 Å, α = 90.00°, β = 105.95° and γ = 90.00°. Symmetry generates all atoms from Cs at (0.123, 0.000, 0.039), Mn at (0.000, 0.000, 0.500), Cd at (0.167, 0.500, 0.487), Se at (0.016, 0.500, 0.296) and Se at (0.215, 0.000, 0.693).


# LiMg6Ga5

A relaxed LiMg6Ga5 crystal (GGA-PBE, the Alexandria database).

As for the formation energy: -1.73 eV/f.u. As for the raw total energy: -2.362 eV per atom.

It has space group Immm (No. 71), with a = 4.560 Å, b = 7.423 Å, c = 13.704 Å, α = 90.00°, β = 90.00° and γ = 90.00°. Symmetry generates all atoms from Li at (0.000, 0.000, 0.000), Mg at (0.000, 0.238, 0.500), Mg at (0.000, 0.256, 0.169), Ga at (0.000, 0.000, 0.329), Ga at (0.000, 0.500, 0.000) and Ga at (0.000, 0.500, 0.344).


# CsBi3O

A relaxed CsBi3O crystal (GGA-PBE, the Alexandria database).

Its energy above the most stable polymorph in this dataset is 0.000 eV/atom. As for the raw total energy: -3.578 eV per atom. The calculation puts the uncorrected formation energy at -0.09 eV per atom.

It has space group Pm-3m (No. 221), with a = 5.258 Å, b = 5.258 Å, c = 5.258 Å, α = 90.00°, β = 90.00° and γ = 90.00°. Symmetry generates all atoms from Cs at (0.000, 0.000, 0.000), Bi at (0.000, 0.500, 0.500) and O at (0.500, 0.500, 0.500).


# BaMnTcH2

A relaxed BaMnTcH2 crystal (GGA-PBE, the Alexandria database).

As for the raw total energy: -4.825 eV per atom.

It has space group P4/mmm (No. 123), with a = 4.160 Å, b = 4.160 Å, c = 4.412 Å, α = 90.00°, β = 90.00° and γ = 90.00°. Symmetry generates all atoms from Ba at (0.000, 0.000, 0.000), Mn at (0.500, 0.500, 0.500), Tc at (0.500, 0.500, 0.000) and H at (0.000, 0.500, 0.500).


# CsPa3Au4O12

A relaxed CsPa3Au4O12 crystal (GGA-PBE, the Alexandria database).

As for the raw total energy: -6.945 eV per atom. The calculation puts the uncorrected formation energy at -1.85 eV per atom.

It has space group R32 (No. 155, hexagonal axes), with a = 12.6857 Å, b = 12.6857 Å, c = 8.5594 Å, α = 90.00°, β = 90.00° and γ = 120.00°. Symmetry generates all atoms from Cs at (0.0000, 0.0000, 0.0000), Pa at (0.0000, 0.5692, 0.0000), Au at (0.0000, 0.0000, 0.5000), Au at (0.0000, 0.3521, 0.5000), O at (0.0000, 0.6236, 0.5000), O at (0.0000, 0.8334, 0.5000) and O at (0.0734, 0.2289, 0.2026).


# Mg2ZnCu

A relaxed Mg2ZnCu crystal (GGA-PBE, the Alexandria database).

As for the formation energy: 0.16 eV/f.u. As for the raw total energy: -2.100 eV per atom.

It has space group P2/m (No. 10), with a = 4.679 Å, b = 3.084 Å, c = 4.958 Å, α = 90.00°, β = 105.49° and γ = 90.00°. Symmetry generates all atoms from Mg at (0.000, 0.000, 0.000), Mg at (0.000, 0.500, 0.500), Zn at (0.500, 0.000, 0.500) and Cu at (0.500, 0.500, 0.000).


What density of states at the Fermi level values result from the calculations? In sequence: 18.7; 9.9; 0.1; 6.0; 4.8; 5.2; 45.6; 1.2 states/eV per cell.